Compound: Pm3CCl3
Source: Alexandria
Functional: PBE-GGA
Structure: relaxed

The structure in POSCAR format:
```
Pm3CCl3
1.0
-2.8483 7.1300 -2.5826
-4.1408 -6.6251 -2.1400
0.6253 0.2047 8.1880
Pm C Cl
6 2 6
Direct
0.0419 0.0419 0.2397
0.7075 0.4382 0.7626
0.4382 0.7075 0.7626
0.2925 0.5618 0.2374
0.5618 0.2925 0.2374
0.9581 0.9581 0.7603
0.7682 0.7682 0.8790
0.2318 0.2318 0.1210
0.7043 0.7043 0.2909
0.2014 0.7986 0.5000
0.7986 0.2014 0.5000
0.2341 0.7659 0.0000
0.7659 0.2341 0.0000
0.2957 0.2957 0.7091
```

Output
The calculation puts the energy above the most stable polymorph in this dataset at 0.3332 eV/atom. The total magnetic moment is 0.9 μB/f.u. The calculated volume comes out at 26.9 A^3/atom.



Compound: NiB3C
Source: Alexandria
Functional: PBE-GGA
Structure: relaxed

The structure in POSCAR format:
```
NiB3C
1.0
3.3523 0.0000 0.0000
0.0000 3.3523 0.0000
0.0000 0.0000 3.3523
Ni C B
1 1 3
Direct
0.5000 0.5000 0.5000
0.0000 0.0000 0.0000
0.0000 0.5000 0.0000
0.0000 0.0000 0.5000
0.5000 0.0000 0.0000
```

Output
The calculation puts the energy above the most stable polymorph in this dataset at 0.0000 eV/atom. The calculation puts the formation energy at 746 kJ/mol of formula units. The total magnetic moment is 0.0 μB/f.u. The calculated volume comes out at 7.5 A^3/atom.



Compound: KSrYI6
Source: Alexandria
Functional: PBE-GGA
Structure: relaxed

The structure in POSCAR format:
```
KSrYI6
1.0
-2.5874 -5.8819 -5.1259
7.5846 -0.3384 3.1505
-5.2850 -8.0132 11.8627
K Sr Y I
2 2 2 12
Direct
0.0000 0.0000 0.0000
0.0000 0.0000 0.5000
0.3333 0.6667 0.2500
0.6667 0.3333 0.7500
0.6667 0.3333 0.2500
0.3333 0.6667 0.7500
0.6474 0.6245 0.1328
0.9771 0.3526 0.1328
0.3526 0.9771 0.6328
0.0229 0.6474 0.8672
0.3755 0.3526 0.3672
0.9771 0.6245 0.3672
0.6245 0.9771 0.8672
0.6474 0.0229 0.3672
0.0229 0.3755 0.6328
0.3755 0.0229 0.1328
0.6245 0.6474 0.6328
0.3526 0.3755 0.8672
```

Output
The uncorrected energy comes out at -64.56 eV per cell. The total magnetic moment is 0.0 μB/f.u. The calculated volume comes out at 49.6 A^3/atom.



Compound: HRu
Source: Alexandria
Functional: PBE-GGA
Structure: relaxed

The structure in POSCAR format:
```
HRu
1.0
2.7919 0.0000 -0.0362
0.0000 2.7460 0.0000
-1.3319 0.0000 4.3425
Ru H
2 2
Direct
0.8593 0.7500 0.2194
0.1407 0.2500 0.7806
0.6139 0.7500 0.7247
0.3861 0.2500 0.2753
```

Output
The uncorrected energy comes out at -24.42 eV per cell. The total magnetic moment is 0.0 μB/f.u. The calculated volume comes out at 8.3 A^3/atom.



Compound: Mg2Pd2Pt7
Source: Alexandria
Functional: PBE-GGA
Structure: relaxed

The structure in POSCAR format:
```
Mg2Pd2Pt7
1.0
5.1686 0.0882 -0.1932
-1.0387 6.5963 -1.0187
-0.0925 0.0882 5.1713
Mg Pd Pt
2 2 7
Direct
0.6958 0.5000 0.3042
0.3042 0.5000 0.6958
0.8361 0.5769 0.8361
0.1639 0.4231 0.1639
0.0793 0.8052 0.4546
0.5454 0.1948 0.9207
0.9207 0.1948 0.5454
0.4546 0.8052 0.0793
0.0000 0.0000 0.0000
0.4059 0.1594 0.4059
0.5941 0.8406 0.5941
```

Output
The calculation puts the formation energy at -252 kJ/mol of formula units. The total magnetic moment is 0.0 μB/f.u. The calculated volume comes out at 16.1 A^3/atom.